(1)
VASP calculation (PBE) on UNiRh after structural relaxation.

The structure in POSCAR format:
```
UNiRh
1.0
-1.527 -3.027 0.096
0.357 -0.287 -3.361
4.470 -0.285 2.211
Rh U Ni
1 1 1
Direct
0.665 0.665 0.330
0.335 0.335 0.670
0.000 0.000 0.000
```

The space-group type is No. 107. As for the density of states at the Fermi level: 5.33 states/eV per cell. The value obtained for the energy above the most stable polymorph in this dataset is 0.000 eV/atom. For the calculated formation energy, the calculation gives -0.5 eV per formula unit.

(2)
VASP calculation (PBE) on MnP3 after structural relaxation.

The structure in POSCAR format:
```
MnP3
1.0
-0.580 -2.381 -1.249
0.074 0.130 2.746
-8.223 1.936 0.129
Mn P
1 3
Direct
0.000 0.000 0.000
0.000 0.000 0.500
0.667 0.333 0.197
0.667 0.333 0.803
```

The space-group type is No. 187. As for the density of states at the Fermi level: 2.71 states/eV per cell. The value obtained for the energy above the most stable polymorph in this dataset is 0.440 eV/atom. For the calculated formation energy, the calculation gives 1.1 eV per formula unit.

(3)
VASP calculation (PBE) on BePb after structural relaxation.

The structure in POSCAR format:
```
BePb
1.0
-0.521 -2.688 -2.930
-0.116 -2.935 2.713
-4.732 1.837 1.785
Pb Be
2 2
Direct
0.144 0.250 0.290
0.856 0.750 0.710
0.456 0.250 0.907
0.544 0.750 0.093
```

The space-group type is No. 11. As for the density of states at the Fermi level: 1.30 states/eV per cell. The value obtained for the energy above the most stable polymorph in this dataset is 0.186 eV/atom. For the calculated formation energy, the calculation gives 1.0 eV per formula unit.

(4)
VASP calculation (PBE) on Mg2TaAg after structural relaxation.

The structure in POSCAR format:
```
Mg2TaAg
1.0
-2.017 -1.921 -0.719
2.460 -1.485 0.122
-1.568 -1.834 9.298
Ag Mg Ta
1 2 1
Direct
0.500 0.500 0.751
0.000 0.000 0.985
0.500 0.500 0.257
0.000 0.000 0.507
```

The space-group type is No. 35. As for the density of states at the Fermi level: 2.15 states/eV per cell. The value obtained for the energy above the most stable polymorph in this dataset is 0.108 eV/atom. For the calculated formation energy, the calculation gives 0.7 eV per formula unit.

(5)
VASP calculation (PBE) on HoSc5Ru6 after structural relaxation.

The structure in POSCAR format:
```
HoSc5Ru6
1.0
4.402 0.019 -1.285
-0.892 5.711 -2.974
-0.082 0.406 7.909
Sc Ru Ho
5 6 1
Direct
0.670 0.170 0.340
0.333 0.333 0.667
0.000 0.500 0.000
0.667 0.667 0.333
0.330 0.830 0.660
0.831 0.578 0.662
0.831 0.084 0.662
0.500 0.744 0.000
0.500 0.256 0.000
0.169 0.916 0.338
0.169 0.422 0.338
0.000 0.000 0.000
```

The space-group type is No. 71. As for the density of states at the Fermi level: 13.35 states/eV per cell. For the calculated formation energy, the calculation gives -6.0 eV per formula unit.

(6)
VASP calculation (PBE) on TaPRh after structural relaxation.

The structure in POSCAR format:
```
TaPRh
1.0
0.000 2.985 2.985
2.985 0.000 2.985
2.985 2.985 0.000
Ta P Rh
1 1 1
Direct
0.250 0.250 0.250
0.000 0.000 0.000
0.500 0.500 0.500
```

The space-group type is No. 216. As for the density of states at the Fermi level: 2.07 states/eV per cell. For the calculated formation energy, the calculation gives -0.6 eV per formula unit.

(7)
VASP calculation (PBE) on AcHo2Er7 after structural relaxation.

The structure in POSCAR format:
```
AcHo2Er7
1.0
5.093 1.696 -0.769
2.675 7.585 -3.828
-1.477 0.010 9.350
Ac Ho Er
1 2 7
Direct
0.000 0.000 0.000
0.501 0.700 0.399
0.499 0.300 0.601
0.001 0.796 0.592
0.999 0.204 0.408
0.755 0.633 0.776
0.245 0.367 0.224
0.755 0.857 0.224
0.245 0.143 0.776
0.500 0.500 0.000
```

The space-group type is No. 71. As for the density of states at the Fermi level: 16.49 states/eV per cell. For the calculated formation energy, the calculation gives 0.6 eV per formula unit.

(8)
VASP calculation (PBE) on NaPdAuSCl after structural relaxation.

The structure in POSCAR format:
```
NaPdAuSCl
1.0
3.625 0.000 0.000
0.000 3.626 0.001
1.761 1.687 7.949
Na Pd Au S Cl
1 1 1 1 1
Direct
0.566 0.945 0.224
0.340 0.732 0.693
0.956 0.341 0.452
0.817 0.211 0.739
0.105 0.483 0.143
```

The space-group type is No. 1. As for the density of states at the Fermi level: 1.64 states/eV per cell. The value obtained for the energy above the most stable polymorph in this dataset is 0.083 eV/atom. The formation energy from raw total energies comes out at -526 meV/atom.

(9)
VASP calculation (PBE) on CrRe4B2 after structural relaxation.

The structure in POSCAR format:
```
CrRe4B2
1.0
4.081 0.000 0.000
2.041 3.535 0.000
2.041 1.178 6.242
Cr Re B
1 4 2
Direct
0.000 0.000 0.000
0.379 0.379 0.864
0.223 0.223 0.332
0.777 0.777 0.668
0.621 0.621 0.136
0.109 0.109 0.672
0.891 0.891 0.328
```

The space-group type is No. 166. As for the density of states at the Fermi level: 4.44 states/eV per cell. For the calculated formation energy, the calculation gives 2.7 eV per formula unit.

(10)
VASP calculation (PBE) on LaSn2Ir after structural relaxation.

The structure in POSCAR format:
```
LaSn2Ir
1.0
-4.236 0.870 1.231
-1.424 -3.515 -2.415
-1.686 -7.474 7.689
Ir Sn La
2 4 2
Direct
0.000 0.000 0.000
0.750 0.250 0.500
0.686 0.125 0.250
0.064 0.625 0.250
0.375 0.314 0.750
0.875 0.936 0.750
0.500 0.500 0.000
0.250 0.750 0.500
```

The space-group type is No. 122. As for the density of states at the Fermi level: 5.02 states/eV per cell. For the calculated formation energy, the calculation gives -0.8 eV per formula unit.

(11)
VASP calculation (PBE) on TmScSb2O8 after structural relaxation.

The structure in POSCAR format:
```
TmScSb2O8
1.0
5.133 0.000 0.000
0.000 5.133 0.000
-2.566 -2.566 5.457
Tm Sc Sb O
1 1 2 8
Direct
0.750 0.250 0.500
0.000 0.000 0.000
0.500 0.500 0.000
0.250 0.750 0.500
0.788 0.848 0.178
0.390 0.330 0.178
0.599 0.652 0.686
0.086 0.034 0.686
0.966 0.401 0.314
0.348 0.914 0.314
0.152 0.610 0.822
0.670 0.212 0.822
```

The space-group type is No. 82. As for the density of states at the Fermi level: 0.00 states/eV per cell. The formation energy from raw total energies comes out at -2289 meV/atom.

(12)
VASP calculation (PBE) on ZrCoNi2 after structural relaxation.

The structure in POSCAR format:
```
ZrCoNi2
1.0
3.112 0.000 0.000
0.000 3.254 0.000
0.000 0.000 5.391
Co Ni Zr
1 2 1
Direct
0.500 0.500 0.781
0.000 0.000 0.994
0.500 0.500 0.227
0.000 0.000 0.498
```

The space-group type is No. 25. As for the density of states at the Fermi level: 4.20 states/eV per cell. For the calculated formation energy, the calculation gives -0.6 eV per formula unit.

(13)
VASP calculation (PBE) on CaSm6Tm8 after structural relaxation.

The structure in POSCAR format:
```
CaSm6Tm8
1.0
5.765 0.000 0.000
0.000 8.788 -5.074
0.000 0.000 10.148
Ca Sm Tm
1 6 8
Direct
0.500 0.000 0.000
0.500 0.710 0.156
0.500 0.844 0.555
0.500 0.445 0.290
0.500 0.290 0.844
0.500 0.156 0.445
0.500 0.555 0.710
0.000 0.974 0.317
0.000 0.683 0.658
0.000 0.342 0.026
0.000 0.026 0.683
0.000 0.317 0.342
0.000 0.658 0.974
0.999 0.333 0.667
0.001 0.667 0.333
```

The space-group type is No. 175. As for the density of states at the Fermi level: 22.74 states/eV per cell. For the calculated formation energy, the calculation gives 3.2 eV per formula unit.

(14)
VASP calculation (PBE) on Mg2PaGa9 after structural relaxation.

The structure in POSCAR format:
```
Mg2PaGa9
1.0
-1.076 0.395 4.117
2.790 -3.072 1.024
8.875 8.560 1.497
Mg Pa Ga
2 1 9
Direct
0.000 0.000 0.334
0.000 0.000 0.666
0.000 0.000 0.000
0.500 0.500 0.000
0.500 0.500 0.339
0.500 0.500 0.661
0.500 0.000 0.176
0.500 0.000 0.500
0.500 0.000 0.824
0.000 0.500 0.176
0.000 0.500 0.500
0.000 0.500 0.824
```

The space-group type is No. 123. As for the density of states at the Fermi level: 7.86 states/eV per cell. For the calculated formation energy, the calculation gives -2.0 eV per formula unit.

(15)
VASP calculation (PBE) on Na2InSiSe4 after structural relaxation.

The structure in POSCAR format:
```
Na2InSiSe4
1.0
6.615 0.311 0.476
-2.537 6.117 -0.476
-2.537 -2.898 5.408
Na In Si Se
2 1 1 4
Direct
0.500 0.750 0.250
0.000 0.000 0.000
0.500 0.250 0.750
0.000 0.500 0.500
0.645 0.485 0.490
0.004 0.160 0.515
0.996 0.510 0.155
0.355 0.845 0.840
```

The space-group type is No. 82. As for the density of states at the Fermi level: 5.51 states/eV per cell. The formation energy from raw total energies comes out at -652 meV/atom.

(16)
VASP calculation (PBE) on Tl3BAu after structural relaxation.

The structure in POSCAR format:
```
Tl3BAu
1.0
-0.067 -5.223 -1.817
-1.485 -1.733 5.037
-5.326 0.549 -1.382
Tl B Au
3 1 1
Direct
0.000 0.500 0.000
0.000 0.000 0.500
0.500 0.000 0.000
0.500 0.500 0.500
0.000 0.000 0.000
```

The space-group type is No. 221. As for the density of states at the Fermi level: 4.52 states/eV per cell. The value obtained for the energy above the most stable polymorph in this dataset is 0.532 eV/atom. For the calculated formation energy, the calculation gives 5.6 eV per formula unit.

(17)
VASP calculation (PBE) on Dy5Mg12In3 after structural relaxation.

The structure in POSCAR format:
```
Dy5Mg12In3
1.0
-5.341 14.107 2.897
-9.902 -7.462 -9.066
1.629 -7.670 13.207
In Dy Mg
12 20 48
Direct
0.750 0.375 0.125
0.875 0.750 0.125
0.375 0.750 0.625
0.250 0.125 0.375
0.875 0.125 0.250
0.375 0.625 0.250
0.625 0.375 0.750
0.125 0.875 0.750
0.750 0.875 0.625
0.625 0.250 0.375
0.125 0.250 0.875
0.250 0.625 0.875
0.125 0.375 0.250
0.000 0.500 0.000
0.000 0.000 0.000
0.375 0.250 0.125
0.500 0.000 0.500
0.500 0.500 0.000
0.125 0.750 0.375
0.750 0.125 0.875
0.750 0.625 0.375
0.375 0.125 0.750
0.625 0.875 0.250
0.500 0.500 0.500
0.500 0.000 0.000
0.000 0.000 0.500
0.250 0.375 0.625
0.250 0.875 0.125
0.000 0.500 0.500
0.875 0.250 0.625
0.625 0.750 0.875
0.875 0.625 0.750
0.737 0.147 0.085
0.348 0.585 0.438
0.915 0.353 0.263
0.585 0.237 0.147
0.590 0.737 0.652
0.915 0.562 0.152
0.348 0.763 0.410
0.062 0.910 0.147
0.562 0.915 0.652
0.737 0.590 0.152
0.763 0.415 0.353
0.848 0.938 0.085
0.147 0.737 0.585
0.353 0.438 0.090
0.090 0.938 0.353
0.410 0.147 0.562
0.090 0.152 0.237
0.415 0.652 0.062
0.848 0.910 0.263
0.147 0.410 0.062
0.353 0.915 0.763
0.562 0.647 0.410
0.938 0.848 0.585
0.763 0.348 0.910
0.438 0.353 0.590
0.062 0.152 0.415
0.237 0.652 0.090
0.152 0.090 0.737
0.647 0.085 0.237
0.853 0.590 0.938
0.585 0.348 0.938
0.590 0.853 0.438
0.910 0.848 0.763
0.910 0.062 0.647
0.853 0.263 0.415
0.152 0.062 0.915
0.647 0.562 0.910
0.438 0.085 0.348
0.263 0.410 0.848
0.237 0.585 0.647
0.938 0.090 0.853
0.652 0.237 0.590
0.415 0.763 0.853
0.085 0.438 0.848
0.410 0.263 0.348
0.085 0.647 0.737
0.652 0.415 0.562
0.263 0.853 0.915
```

The space-group type is No. 230. As for the density of states at the Fermi level: 86.28 states/eV per cell. For the calculated formation energy, the calculation gives 12.2 eV per formula unit.

(18)
VASP calculation (PBE) on HgSeS4 after structural relaxation.

The structure in POSCAR format:
```
HgSeS4
1.0
9.712 -1.318 -4.065
-5.227 7.224 3.210
-3.572 3.953 7.596
Hg Se S
2 2 8
Direct
0.249 0.046 0.952
0.751 0.954 0.048
0.739 0.479 0.514
0.261 0.521 0.486
0.793 0.568 0.748
0.290 0.056 0.264
0.695 0.281 0.400
0.198 0.762 0.904
0.802 0.238 0.096
0.305 0.719 0.600
0.710 0.944 0.736
0.207 0.432 0.252
```

The space-group type is No. 2. The formation energy from raw total energies comes out at 56 meV/atom.

(19)
VASP calculation (PBE) on PaGa4Au2 after structural relaxation.

The structure in POSCAR format:
```
PaGa4Au2
1.0
-0.204 -1.775 -4.208
4.546 -4.695 1.761
-12.752 -10.461 5.031
Pa Au Ga
4 8 16
Direct
0.750 0.979 0.637
0.250 0.021 0.363
0.250 0.479 0.863
0.750 0.521 0.137
0.250 0.768 0.530
0.750 0.232 0.470
0.750 0.268 0.970
0.250 0.732 0.030
0.250 0.955 0.782
0.750 0.045 0.218
0.750 0.455 0.718
0.250 0.545 0.282
0.250 0.264 0.688
0.750 0.736 0.312
0.750 0.764 0.812
0.250 0.236 0.188
0.250 0.666 0.679
0.750 0.334 0.321
0.750 0.166 0.821
0.250 0.834 0.179
0.250 0.164 0.541
0.750 0.836 0.459
0.750 0.664 0.959
0.250 0.336 0.041
0.250 0.471 0.432
0.750 0.529 0.568
0.750 0.971 0.068
0.250 0.029 0.932
```

The space-group type is No. 62. As for the density of states at the Fermi level: 21.73 states/eV per cell. For the calculated formation energy, the calculation gives -2.2 eV per formula unit.

(20)
VASP calculation (PBE) on CuSbPb after structural relaxation.

The structure in POSCAR format:
```
CuSbPb
1.0
-3.279 -1.635 -3.005
-3.396 -2.915 1.556
-4.474 1.529 0.315
Pb Sb Cu
1 1 1
Direct
0.000 0.000 0.000
0.500 0.500 0.500
0.750 0.750 0.750
```

The space-group type is No. 216. As for the density of states at the Fermi level: 0.51 states/eV per cell. The value obtained for the energy above the most stable polymorph in this dataset is 0.031 eV/atom. The formation energy from raw total energies comes out at 73 meV/atom.